[1]
NiSb4Se | GGA-PBE | optimized geometry

Cell: 8.622 8.622 8.622 Å, 90.00 90.00 90.00°
Space group F-43m (No. 216)
Symmetry-distinct sites (fractional):
Ni1 0.000 0.000 0.000
Sb1 0.125 0.125 0.625
Se1 0.250 0.250 0.250

total DFT energy (no corrections)	-0.130	Ha/atom
calculated volume	640.8	Å³ per cell



[2]
NiSb2Se | GGA-PBE | optimized geometry

Cell: 6.038 6.038 12.094 Å, 90.00 90.00 90.00°
Space group I-42d (No. 122)
Symmetry-distinct sites (fractional):
Ni1 0.000 0.000 0.000
Sb1 0.186 0.250 0.125
Se1 0.000 0.000 0.500

total DFT energy (no corrections)	-0.161	Ha/atom
calculated volume	440.9	Å³ per cell



[3]
Ni2SbSe | GGA-PBE | optimized geometry

Cell: 5.571 5.571 10.783 Å, 90.00 90.00 90.00°
Space group I-42d (No. 122)
Symmetry-distinct sites (fractional):
Ni1 0.217 0.250 0.125
Sb1 0.000 0.000 0.500
Se1 0.000 0.000 0.000

total DFT energy (no corrections)	-0.178	Ha/atom
calculated volume	334.6	Å³ per cell



[4]
Ni2SbSe | GGA-PBE | optimized geometry

Cell: 3.7890 3.7890 17.9333 Å, 90.00 90.00 120.00°
Space group R3m (No. 160, hexagonal axes)
Symmetry-distinct sites (fractional):
Ni1 0.0000 0.0000 0.0000
Ni2 0.0000 0.0000 0.2773
Sb1 0.0000 0.0000 0.7366
Se1 0.0000 0.0000 0.5601

total DFT energy (no corrections)	-0.180	Ha/atom
calculated volume	223.0	Å³ per cell



[5]
Ni2SbSe | GGA-PBE | optimized geometry

Cell: 4.237 4.490 4.259 Å, 90.00 114.54 90.00°
Space group Pm (No. 6)
Symmetry-distinct sites (fractional):
Ni1 0.000 0.000 0.000
Ni2 0.173 0.500 0.812
Sb1 0.353 0.000 0.645
Se1 0.847 0.500 0.153

total DFT energy (no corrections)	-0.180	Ha/atom
calculated volume	73.7	Å³ per cell



[6]
NiSb3Se | GGA-PBE | optimized geometry

Cell: 4.988 4.988 4.988 Å, 90.00 90.00 90.00°
Space group Pm-3m (No. 221)
Symmetry-distinct sites (fractional):
Ni1 0.000 0.000 0.000
Sb1 0.000 0.000 0.500
Se1 0.500 0.500 0.500

total DFT energy (no corrections)	-0.147	Ha/atom
calculated volume	124.1	Å³ per cell
distance to the lowest polymorph of the same formula	0	meV per atom



[7]
NiSbSe3 | GGA-PBE | optimized geometry

Cell: 5.286 5.286 5.286 Å, 90.00 90.00 90.00°
Space group Pm-3m (No. 221)
Symmetry-distinct sites (fractional):
Ni1 0.000 0.000 0.000
Sb1 0.500 0.500 0.500
Se1 0.000 0.500 0.500

total DFT energy (no corrections)	-0.115	Ha/atom
calculated volume	147.7	Å³ per cell
distance to the lowest polymorph of the same formula	767	meV per atom



[8]
NiSb2Se | GGA-PBE | optimized geometry

Cell: 3.983 3.983 11.186 Å, 90.00 90.00 90.00°
Space group I-4m2 (No. 119)
Symmetry-distinct sites (fractional):
Ni1 0.000 0.000 0.000
Sb1 0.000 0.000 0.500
Sb2 0.000 0.500 0.750
Se1 0.000 0.500 0.250

total DFT energy (no corrections)	-0.146	Ha/atom
calculated volume	177.5	Å³ per cell



Copy entry 1 word for word.
NiSb4Se | GGA-PBE | optimized geometry

Cell: 8.622 8.622 8.622 Å, 90.00 90.00 90.00°
Space group F-43m (No. 216)
Symmetry-distinct sites (fractional):
Ni1 0.000 0.000 0.000
Sb1 0.125 0.125 0.625
Se1 0.250 0.250 0.250

total DFT energy (no corrections)	-0.130	Ha/atom
calculated volume	640.8	Å³ per cell